Record 1
## InNF3 (GGA-PBE)

Data for an optimized crystal structure of InNF3.

Unit cell a=4.206 b=6.660 c=7.239 alpha=90.00 beta=97.70 gamma=90.00
Atoms (fractional coordinates):
In: 0.001 0.250 0.002
In: 0.999 0.750 0.998
N: 0.378 0.250 0.534
N: 0.622 0.750 0.466
F: 0.042 0.501 0.184
F: 0.042 0.999 0.184
F: 0.498 0.750 0.995
F: 0.502 0.250 0.005
F: 0.958 0.001 0.816
F: 0.958 0.499 0.816

Calculated values
Calculated total energy   -4.26 eV per atom
DOS(E_F)   0.000 states/eV per cell
Energy above the lowest structure with this stoichiometry   12 meV per atom
Raw formation energy   -925 meV per atom



Record 2
## In2HgSb2 (GGA-PBE)

Data for an optimized crystal structure of In2HgSb2.

Unit cell a=9.146 b=9.146 c=3.454 alpha=90.00 beta=90.00 gamma=90.00
Atoms (fractional coordinates):
In: 0.148 0.352 0.000
In: 0.352 0.852 0.000
In: 0.648 0.148 0.000
In: 0.852 0.648 0.000
Hg: 0.000 0.000 0.000
Hg: 0.500 0.500 0.000
Sb: 0.150 0.650 0.500
Sb: 0.350 0.150 0.500
Sb: 0.650 0.850 0.500
Sb: 0.850 0.350 0.500

Calculated values
Calculated total energy   -2.71 eV per atom
DOS(E_F)   5.363 states/eV per cell
Energy above the lowest structure with this stoichiometry   32 meV per atom
Raw formation energy   92 meV per atom



Record 3
## Pr3Nd3Pt4 (GGA-PBE)

Data for an optimized crystal structure of Pr3Nd3Pt4.

Unit cell a=4.059 b=8.048 c=8.048 alpha=89.87 beta=90.00 gamma=90.00
Atoms (fractional coordinates):
Pr: 0.000 0.000 0.000
Pr: 0.500 0.337 0.837
Pr: 0.500 0.837 0.337
Nd: 0.000 0.174 0.501
Nd: 0.000 0.501 0.174
Nd: 0.000 0.673 0.673
Pt: 0.500 0.206 0.206
Pt: 0.500 0.470 0.470
Pt: 0.500 0.703 0.968
Pt: 0.500 0.968 0.703

Calculated values
Calculated total energy   -6.19 eV per atom
DOS(E_F)   8.084 states/eV per cell
Energy of formation from the pure elements   -0.91 eV per atom



Record 4
## Sr2Co (GGA-PBE)

Data for an optimized crystal structure of Sr2Co.

Unit cell a=5.244 b=5.244 c=5.244 alpha=60.00 beta=60.00 gamma=60.00
Atoms (fractional coordinates):
Sr: 0.250 0.250 0.250
Sr: 0.750 0.750 0.750
Co: 0.000 0.000 0.000

Calculated values
Calculated total energy   -2.99 eV per atom
DOS(E_F)   8.455 states/eV per cell
Energy of formation from the pure elements   0.50 eV per atom